No. 1
Below is crystalline K4Ho3PaS8 at its relaxed geometry, with properties calculated at the PBE level.

Properties
- Density: 4.53 g cm⁻³
- Space group: No. 166

Cell and atoms, written as POSCAR:
```
K4Ho3PaS8
1.0
4.039 2.332 7.384
-4.039 2.332 7.384
0.000 -4.664 7.384
K Ho Pa S
4 3 1 8
direct
0.000 0.000 0.000
0.000 0.500 0.500
0.500 0.000 0.500
0.500 0.500 0.000
0.000 0.000 0.500
0.000 0.500 0.000
0.500 0.000 0.000
0.500 0.500 0.500
0.234 0.234 0.234
0.234 0.735 0.735
0.265 0.265 0.766
0.265 0.766 0.265
0.735 0.234 0.735
0.735 0.735 0.234
0.766 0.265 0.265
0.766 0.766 0.766
```

No. 2
Below is crystalline K2HoPaS4 at its relaxed geometry, with properties calculated at the PBE level.

Properties
- Density: 4.80 g cm⁻³
- Space group: No. 10

Cell and atoms, written as POSCAR:
```
K2HoPaS4
1.0
7.005 0.000 0.000
0.000 4.000 0.000
-2.289 0.000 7.436
K Ho Pa S
2 1 1 4
direct
0.000 0.000 0.000
0.500 0.500 0.000
0.000 0.500 0.500
0.500 0.000 0.500
0.234 0.000 0.703
0.262 0.500 0.293
0.738 0.500 0.707
0.766 0.000 0.297
```

No. 3
Below is crystalline K2HoPaSe4 at its relaxed geometry, with properties calculated at the PBE level.

Properties
- Density: 5.58 g cm⁻³
- Space group: No. 10

Cell and atoms, written as POSCAR:
```
K2HoPaSe4
1.0
7.286 0.000 0.000
0.000 4.155 0.000
-2.374 0.000 7.769
K Ho Pa Se
2 1 1 4
direct
0.000 0.000 0.000
0.500 0.500 0.000
0.000 0.500 0.500
0.500 0.000 0.500
0.234 0.000 0.707
0.260 0.500 0.289
0.740 0.500 0.711
0.766 0.000 0.293
```

No. 4
Below is crystalline K2Ho2PaSe6 at its relaxed geometry, with properties calculated at the PBE level.

Properties
- Density: 5.21 g cm⁻³
- Space group: No. 12

Cell and atoms, written as POSCAR:
```
K2Ho2PaSe6
1.0
3.608 -6.245 0.000
3.608 6.245 0.000
-2.426 0.000 7.863
K Ho Pa Se
2 2 1 6
direct
0.167 0.833 0.000
0.833 0.167 0.000
0.333 0.667 0.500
0.667 0.333 0.500
0.000 0.000 0.500
0.067 0.400 0.701
0.265 0.265 0.300
0.400 0.067 0.701
0.600 0.933 0.299
0.735 0.735 0.700
0.933 0.600 0.299
```

no.,total energy (eV per atom),uncorrected formation energy (kJ/mol of atoms),total magnetization (μB per atom)
1,-5.55,-170,0.11
2,-5.76,-160,0.24
3,-5.29,-146,0.25
4,-5.46,-160,0.10